# LiEr2Hf

LiEr2Hf after structural relaxation (PBE-GGA, Alexandria).

Properties
total energy	-5.122	eV per atom
calculated volume	26.401	A^3/atom
distance to the lowest polymorph of the same formula	33.6	meV/atom

Unit cell a=3.325 b=3.325 c=11.193 alpha=81.46 beta=81.46 gamma=60.00
Positions (direct):
Hf  0.000  0.000  0.000
Er  0.254  0.254  0.237
Li  0.500  0.500  0.500
Er  0.746  0.746  0.763